Compound: CeCoSb3
Source: Alexandria
Functional: PBE
Structure: optimized geometry

## Properties
Total DFT energy (no corrections) ... -5.611 eV per atom
Calculated density ... 8051 kg/m³
Density of states at the Fermi level ... 22.4 states/eV per cell
Space group ... No. 57
Volume ... 466 Å³/cell
Uncorrected formation energy ... -2.65 eV/f.u.
E above lowest polymorph ... 31 meV/atom

Unit cell a=5.9913 b=6.1540 c=12.6280 alpha=90.00 beta=90.00 gamma=90.00
Last column: nearest neighbours and their distance in Å.
Fractional coordinates of all 20 atoms:
Sb 0.0000 0.7500 0.5014  4 Sb 3.00-3.08, 4 Ce 3.28-3.30
Sb 0.2500 0.0028 0.2208  2 Co 2.67
Sb 0.7500 0.9076 0.0545  4 Co 2.59-2.63
Ce 0.7500 0.9991 0.3023  9 Sb 3.17-3.30, 2 Co 3.40
Sb 0.7500 0.9972 0.7792  2 Co 2.67
Sb 0.5000 0.7500 0.5014  4 Sb 3.00-3.08, 4 Ce 3.28-3.30
Co 0.0000 0.2500 0.0940  6 Sb 2.59-2.67
Sb 0.7500 0.4972 0.2208  2 Co 2.67
Sb 0.7500 0.4076 0.9455  4 Co 2.59-2.63
Ce 0.7500 0.4991 0.6977  9 Sb 3.17-3.30, 2 Co 3.40
Co 0.0000 0.7500 0.9060  6 Sb 2.59-2.67
Sb 0.2500 0.5028 0.7792  2 Co 2.67
Ce 0.2500 0.0009 0.6977  9 Sb 3.17-3.30, 2 Co 3.40
Sb 0.2500 0.5924 0.0545  4 Co 2.59-2.63
Sb 0.2500 0.0924 0.9455  4 Co 2.59-2.63
Sb 0.5000 0.2500 0.4986  4 Sb 3.00-3.08, 4 Ce 3.28-3.30
Sb 0.0000 0.2500 0.4986  4 Sb 3.00-3.08, 4 Ce 3.28-3.30
Co 0.5000 0.2500 0.0940  6 Sb 2.59-2.67
Ce 0.2500 0.5009 0.3023  9 Sb 3.17-3.30, 2 Co 3.40
Co 0.5000 0.7500 0.9060  6 Sb 2.59-2.67



Compound: Ce3CoSb2
Source: Alexandria
Functional: PBE
Structure: optimized geometry

## Properties
Total DFT energy (no corrections) ... -6.248 eV per atom
Calculated density ... 7634 kg/m³
Density of states at the Fermi level ... 64.1 states/eV per cell
Space group ... No. 62
Volume ... 629 Å³/cell
Uncorrected formation energy ... -4.34 eV/f.u.

Unit cell a=4.2735 b=11.7224 c=12.5530 alpha=90.00 beta=90.00 gamma=90.00
Last column: nearest neighbours and their distance in Å.
Fractional coordinates of all 24 atoms:
Sb 0.7500 0.9858 0.6965  1 Co 2.70
Ce 0.7500 0.2212 0.2596  2 Co 2.87, 1 Sb 3.21
Ce 0.7500 0.9543 0.1186  3 Co 3.08-3.27, 5 Sb 3.16-3.23
Co 0.7500 0.6432 0.3742  3 Sb 2.69-2.70, 3 Ce 2.87-2.94
Sb 0.7500 0.5142 0.1965  1 Co 2.70
Ce 0.7500 0.5457 0.6186  3 Co 3.08-3.27, 5 Sb 3.16-3.23
Ce 0.7500 0.6181 0.9472  1 Co 2.94, 4 Sb 3.12-3.20
Co 0.7500 0.8568 0.8742  3 Sb 2.69-2.70, 3 Ce 2.87-2.94
Sb 0.2500 0.0142 0.3035  1 Co 2.70
Co 0.2500 0.3568 0.6258  3 Sb 2.69-2.70, 3 Ce 2.87-2.94
Ce 0.2500 0.7788 0.7404  2 Co 2.87, 1 Sb 3.21
Sb 0.2500 0.4858 0.8035  1 Co 2.70
Ce 0.2500 0.3819 0.0528  1 Co 2.94, 4 Sb 3.12-3.20
Sb 0.2500 0.6947 0.4947  2 Co 2.69
Sb 0.7500 0.3053 0.5053  2 Co 2.69
Sb 0.7500 0.1947 0.0053  2 Co 2.69
Ce 0.7500 0.8819 0.4472  1 Co 2.94, 4 Sb 3.12-3.20
Sb 0.2500 0.8053 0.9947  2 Co 2.69
Ce 0.2500 0.7212 0.2404  2 Co 2.87, 1 Sb 3.21
Ce 0.2500 0.1181 0.5528  1 Co 2.94, 4 Sb 3.12-3.20
Ce 0.2500 0.4543 0.3814  3 Co 3.08-3.27, 5 Sb 3.16-3.23
Ce 0.2500 0.0457 0.8814  3 Co 3.08-3.27, 5 Sb 3.16-3.23
Co 0.2500 0.1432 0.1258  3 Sb 2.69-2.70, 3 Ce 2.87-2.94
Ce 0.7500 0.2788 0.7596  2 Co 2.87, 1 Sb 3.21



Compound: Ce8Co2Sb
Source: Alexandria
Functional: PBE
Structure: optimized geometry

## Properties
Total DFT energy (no corrections) ... -6.193 eV per atom
Calculated density ... 8283 kg/m³
Density of states at the Fermi level ... 29.1 states/eV per cell
Space group ... No. 12
Volume ... 273 Å³/cell
Uncorrected formation energy ... -2.32 eV/f.u.

Unit cell a=4.9611 b=8.4039 c=7.8936 alpha=57.84 beta=83.76 gamma=78.23
Last column: nearest neighbours and their distance in Å.
Fractional coordinates of all 11 atoms:
Ce 0.0557 0.9358 0.7710  2 Co 2.93-2.97, 3 Ce 2.94-3.23, 1 Sb 3.24
Ce 0.7199 0.5849 0.0000  2 Ce 2.84-2.85, 2 Co 2.98
Co 0.0000 0.3042 0.3915  2 Ce 2.55
Ce 0.0557 0.7068 0.2290  2 Co 2.93-2.97, 3 Ce 2.94-3.23, 1 Sb 3.24
Co 0.0000 0.6958 0.6085  2 Ce 2.55
Ce 0.9443 0.2932 0.7710  2 Co 2.93-2.97, 3 Ce 2.94-3.23, 1 Sb 3.24
Ce 0.2801 0.4151 0.0000  2 Ce 2.84-2.85, 2 Co 2.98
Sb 0.5000 0.0000 0.0000  12 Ce 3.24-3.50
Ce 0.9443 0.0642 0.2290  2 Co 2.93-2.97, 3 Ce 2.94-3.23, 1 Sb 3.24
Ce 0.5000 0.7384 0.5232  2 Co 2.55
Ce 0.5000 0.2616 0.4768  2 Co 2.55